DFT (PBE-GGA) results for crystalline Cs2RbI at its relaxed geometry.

```
Cs2RbI
1.0
0.0000 5.3067 5.3067
5.3067 0.0000 5.3067
5.3067 5.3067 0.0000
Cs Rb I
2 1 1
direct
0.2500 0.2500 0.2500
0.7500 0.7500 0.7500
0.0000 0.0000 0.0000
0.5000 0.5000 0.5000
```

- Mass density: 2.7 Mg/m³
- DOS(E_F): 0.00 states/eV/cell
- Excess energy over the best structure of this formula in the dataset: 4.83 kcal/mol of atoms